Entry 1:
The following is a DFT calculation (PBE) of a relaxed structure of LaHoMg2Tl4.

Geometry as CIF:
```
data_LaHoMg2Tl4
_chemical_formula_sum 'La3 Ho3 Mg6 Tl12'
_cell_length_a 5.2722
_cell_length_b 5.2722
_cell_length_c 26.8115
_cell_angle_alpha 90.00
_cell_angle_beta 90.00
_cell_angle_gamma 120.00
_space_group_name_H-M_alt 'R -3 m'
_space_group_IT_number 166
_space_group_name_Hall '-R 3 2"'
loop_
_atom_site_label
_atom_site_fract_x
_atom_site_fract_y
_atom_site_fract_z
La1 0.0000 0.0000 0.0000
Ho1 0.0000 0.0000 0.5000
Mg1 0.0000 0.0000 0.2487
Tl1 0.0000 0.0000 0.1271
Tl2 0.0000 0.0000 0.3806
```

Values from the calculation:
* total energy: -3.02 eV/atom
* magnetic moment: 0.00 μB per cell
* calculated formation energy: -0.250 eV/atom
* DOS(E_F): 12.95 states/eV per cell


Entry 2:
The following is a DFT calculation (PBE) of a relaxed structure of PaMn2H4.

Geometry as CIF:
```
data_PaMn2H4
_chemical_formula_sum 'Pa4 Mn8 H16'
_cell_length_a 4.0811
_cell_length_b 7.3078
_cell_length_c 8.4229
_cell_angle_alpha 90.00
_cell_angle_beta 90.00
_cell_angle_gamma 90.00
_space_group_name_H-M_alt 'C c c m'
_space_group_IT_number 66
_space_group_name_Hall '-C 2 2c'
loop_
_atom_site_label
_atom_site_fract_x
_atom_site_fract_y
_atom_site_fract_z
Pa1 0.0000 0.0000 0.2500
Mn1 0.0054 0.3569 0.0000
H1 0.1077 0.1194 0.5000
H2 0.2500 0.2500 0.1420
```

Values from the calculation:
* total energy: -5.98 eV/atom
* magnetic moment: 0.00 μB per cell
* DOS(E_F): 17.46 states/eV per cell


Entry 3:
The following is a DFT calculation (PBE) of a relaxed structure of MgScPb3.

Geometry as CIF:
```
data_MgScPb3
_chemical_formula_sum 'Mg4 Sc4 Pb12'
_cell_length_a 13.1153
_cell_length_b 6.3014
_cell_length_c 6.3979
_cell_angle_alpha 90.00
_cell_angle_beta 90.00
_cell_angle_gamma 90.00
_space_group_name_H-M_alt 'P b c m'
_space_group_IT_number 57
loop_
_space_group_symop_operation_xyz
'x,y,z'
'-x,-y,-z'
'-x,-y,z+1/2'
'x,y,-z+1/2'
'x,-y+1/2,-z'
'-x,y+1/2,z'
'-x,y+1/2,-z+1/2'
'x,-y+1/2,z+1/2'
loop_
_atom_site_label
_atom_site_fract_x
_atom_site_fract_y
_atom_site_fract_z
Mg1 0.1215 0.2500 0.0000
Sc1 0.3083 0.0028 0.2500
Pb1 0.0802 0.6805 0.7500
Pb2 0.2806 0.5086 0.2500
Pb3 0.4993 0.2500 0.0000
```

Values from the calculation:
* total energy: -3.95 eV/atom
* magnetic moment: 0.00 μB per cell
* relative energy among the computed polymorphs: 0 meV/atom
* calculated formation energy: -0.142 eV/atom
* DOS(E_F): 9.98 states/eV per cell


Entry 4:
The following is a DFT calculation (PBE) of a relaxed structure of TbThTlGa.

Geometry as CIF:
```
data_TbThTlGa
_chemical_formula_sum 'Tb4 Th4 Tl4 Ga4'
_cell_length_a 7.5368
_cell_length_b 7.5368
_cell_length_c 7.5368
_cell_angle_alpha 90.00
_cell_angle_beta 90.00
_cell_angle_gamma 90.00
_space_group_name_H-M_alt 'F -4 3 m'
_space_group_IT_number 216
_space_group_name_Hall 'F -4 2 3'
loop_
_atom_site_label
_atom_site_fract_x
_atom_site_fract_y
_atom_site_fract_z
Tb1 0.0000 0.0000 0.0000
Th1 0.0000 0.0000 0.5000
Tl1 0.2500 0.2500 0.2500
Ga1 0.2500 0.2500 0.7500
```

Values from the calculation:
* total energy: -4.66 eV/atom
* magnetic moment: 0.00 μB per cell
* calculated formation energy: -0.295 eV/atom
* DOS(E_F): 12.93 states/eV per cell


Entry 5:
The following is a DFT calculation (PBE) of a relaxed structure of ThMn2PC.

Geometry as CIF:
```
data_ThMn2PC
_chemical_formula_sum 'Th4 Mn8 P4 C4'
_cell_length_a 5.3229
_cell_length_b 10.2773
_cell_length_c 5.2954
_cell_angle_alpha 90.00
_cell_angle_beta 90.00
_cell_angle_gamma 90.00
_space_group_name_H-M_alt 'C m c m'
_space_group_IT_number 63
_space_group_name_Hall '-C 2c 2'
loop_
_atom_site_label
_atom_site_fract_x
_atom_site_fract_y
_atom_site_fract_z
Th1 0.0000 0.2467 0.2500
Mn1 0.2355 0.5000 0.0000
P1 0.0000 0.1156 0.7500
C1 0.0000 0.4422 0.7500
```

Values from the calculation:
* total energy: -8.63 eV/atom
* magnetic moment: 3.54 μB per cell
* calculated formation energy: -0.550 eV/atom
* DOS(E_F): 16.01 states/eV per cell


Entry 6:
The following is a DFT calculation (PBE) of a relaxed structure of SrLi2SiSe4.

Geometry as CIF:
```
data_SrLi2SiSe4
_chemical_formula_sum 'Sr2 Li4 Si2 Se8'
_cell_length_a 8.1717
_cell_length_b 8.1851
_cell_length_c 8.5169
_cell_angle_alpha 113.87
_cell_angle_beta 115.77
_cell_angle_gamma 97.00
_space_group_name_H-M_alt 'P 1'
_space_group_IT_number 1
loop_
_space_group_symop_operation_xyz
'x,y,z'
loop_
_atom_site_label
_atom_site_fract_x
_atom_site_fract_y
_atom_site_fract_z
Sr1 0.0000 0.0000 0.0000
Sr2 0.4943 0.9645 0.4558
Li1 0.0031 0.5876 0.5523
Li2 0.0479 0.4671 0.8721
Li3 0.0908 0.1425 0.5856
Li4 0.5274 0.4131 0.9043
Si1 0.3533 0.0021 0.8370
Si2 0.6576 0.4800 0.6190
Se1 0.1515 0.8274 0.4889
Se2 0.2676 0.2682 0.9649
Se3 0.3035 0.8074 0.9601
Se4 0.3400 0.3069 0.4957
Se5 0.6618 0.1489 0.9297
Se6 0.7120 0.6953 0.5258
Se7 0.7977 0.2678 0.4922
Se8 0.8290 0.6254 0.9672
```

Values from the calculation:
* total energy: -4.22 eV/atom
* magnetic moment: 0.00 μB per cell
* formation energy without anion corrections: -1109.7 meV per atom
* DOS(E_F): 0.00 states/eV per cell